No. 1
# Hf2TlMo

A relaxed Hf2TlMo crystal (PBE, the Alexandria database).

```
Hf2TlMo
1.0
3.4480 0.0000 0.0000
0.0000 3.4480 0.0000
0.0000 0.0000 6.9094
Tl Hf Mo
1 2 1
direct
0.5000 0.5000 0.5000 Tl
0.0000 0.0000 0.7808 Hf
0.0000 0.0000 0.2192 Hf
0.5000 0.5000 0.0000 Mo
```

## Properties
Energy relative to the elements   -86 meV/atom
Calculated total energy   -8.36 eV per atom

---

No. 2
# InOsAu2

A relaxed InOsAu2 crystal (PBE, the Alexandria database).

```
InOsAu2
1.0
-0.7683 1.6606 -2.3013
-1.3145 -2.5619 0.5941
-6.7076 4.7568 5.6718
Au In Os
2 1 1
direct
0.0000 0.0000 0.9898 Au
0.0000 0.0000 0.5102 Au
0.5000 0.5000 0.2500 In
0.5000 0.5000 0.7500 Os
```

## Properties
Energy relative to the elements   537 meV/atom
Calculated total energy   -4.59 eV per atom

---

No. 3
# CrCo2Rh3

A relaxed CrCo2Rh3 crystal (PBE, the Alexandria database).

```
CrCo2Rh3
1.0
-2.0684 2.9862 1.0756
-5.5607 -1.8790 1.1952
1.8600 -1.1678 6.8169
Cr Co Rh
2 4 6
direct
0.3410 0.3179 0.0000 Cr
0.6590 0.6821 0.0000 Cr
0.0000 0.0000 0.0000 Co
0.0000 0.0000 0.5000 Co
0.3298 0.3405 0.5000 Co
0.6702 0.6595 0.5000 Co
0.8329 0.3345 0.7548 Rh
0.5000 0.0000 0.2501 Rh
0.1671 0.6655 0.2452 Rh
0.8326 0.3345 0.2452 Rh
0.1674 0.6655 0.7548 Rh
0.5000 0.0000 0.7499 Rh
```

## Properties
Energy relative to the elements   9 meV/atom
Calculated total energy   -7.64 eV per atom

---

No. 4
# BeMoPb2

A relaxed BeMoPb2 crystal (PBE, the Alexandria database).

```
BeMoPb2
1.0
-5.6603 -0.5820 2.7498
-3.4994 -2.6629 4.5391
-0.2930 2.6737 3.4634
Pb Be Mo
2 1 1
direct
0.9869 0.9869 0.0129 Pb
0.7493 0.7493 0.7509 Pb
0.5621 0.5621 0.4379 Be
0.2017 0.2017 0.2984 Mo
```

## Properties
Energy relative to the elements   666 meV/atom
Calculated total energy   -4.83 eV per atom